(1)
## Pr4ThGe4 (PBE)

Data for a relaxed structure of Pr4ThGe4.

Lattice parameters (Å, degrees): 7.416 7.416 7.416 99.70 99.70 131.52
Fractional positions:
Pr  0.099  0.301  0.400
Pr  0.301  0.901  0.202
Pr  0.699  0.099  0.798
Pr  0.901  0.699  0.600
Th  0.500  0.500  0.000
Ge  0.207  0.599  0.805
Ge  0.401  0.207  0.608
Ge  0.599  0.793  0.392
Ge  0.793  0.401  0.195

Crystal system   tetragonal
Total moment   0.016 μB per atom
DFT formation energy   -590 meV per atom

***

(2)
## PrTh5Ge6 (PBE)

Data for a relaxed structure of PrTh5Ge6.

Lattice parameters (Å, degrees): 7.457 7.457 7.455 99.59 99.59 119.96
Fractional positions:
Pr  0.000  0.000  0.000
Th  0.166  0.834  0.500
Th  0.333  0.667  0.000
Th  0.500  0.500  0.500
Th  0.667  0.333  0.000
Th  0.834  0.166  0.500
Ge  0.084  0.419  0.251
Ge  0.252  0.252  0.749
Ge  0.419  0.084  0.251
Ge  0.581  0.916  0.749
Ge  0.748  0.748  0.251
Ge  0.916  0.581  0.749

Crystal system   monoclinic
Total moment   0.000 μB per atom
DFT formation energy   -760 meV per atom

***

(3)
## Pr5ThGe4 (PBE)

Data for a relaxed structure of Pr5ThGe4.

Lattice parameters (Å, degrees): 9.942 9.942 8.085 113.75 113.75 25.96
Fractional positions:
Pr  0.000  0.000  0.000
Pr  0.329  0.329  0.549
Pr  0.339  0.339  0.062
Pr  0.661  0.661  0.938
Pr  0.671  0.671  0.451
Th  0.000  0.000  0.500
Ge  0.183  0.183  0.708
Ge  0.492  0.492  0.745
Ge  0.508  0.508  0.255
Ge  0.817  0.817  0.292

Crystal system   monoclinic
Total moment   0.001 μB per atom
DFT formation energy   -561 meV per atom

***

(4)
## PrTh2Ge (PBE)

Data for a relaxed structure of PrTh2Ge.

Lattice parameters (Å, degrees): 9.845 9.845 9.845 23.23 23.23 23.23
Fractional positions:
Pr  0.000  0.000  0.000
Th  0.231  0.231  0.231
Th  0.435  0.435  0.435
Ge  0.832  0.832  0.832

Crystal system   trigonal
Total moment   0.000 μB per atom
DFT formation energy   -176 meV per atom

***

(5)
## PrTiGe3 (PBE)

Data for a relaxed structure of PrTiGe3.

Lattice parameters (Å, degrees): 6.314 6.314 5.888 90.00 90.00 120.00
Fractional positions:
Pr  0.333  0.667  0.250
Pr  0.667  0.333  0.750
Ti  0.000  0.000  0.000
Ti  0.000  0.000  0.500
Ge  0.197  0.394  0.750
Ge  0.197  0.803  0.750
Ge  0.394  0.197  0.250
Ge  0.606  0.803  0.750
Ge  0.803  0.197  0.250
Ge  0.803  0.606  0.250

Crystal system   hexagonal
Total moment   0.000 μB per atom
DFT formation energy   -657 meV per atom

***

(6)
## Pr5TiGe4 (PBE)

Data for a relaxed structure of Pr5TiGe4.

Lattice parameters (Å, degrees): 9.339 9.339 7.927 105.36 105.36 25.75
Fractional positions:
Pr  0.000  0.000  0.000
Pr  0.329  0.329  0.668
Pr  0.335  0.335  0.146
Pr  0.665  0.665  0.854
Pr  0.671  0.671  0.332
Ti  0.000  0.000  0.500
Ge  0.157  0.157  0.589
Ge  0.498  0.498  0.716
Ge  0.502  0.502  0.284
Ge  0.843  0.843  0.411

Crystal system   monoclinic
Total moment   0.105 μB per atom
DFT formation energy   -448 meV per atom

***

(7)
## Pr2TiGe2 (PBE)

Data for a relaxed structure of Pr2TiGe2.

Lattice parameters (Å, degrees): 3.052 3.052 14.546 90.00 90.00 90.00
Fractional positions:
Pr  0.000  0.000  0.119
Pr  0.000  0.000  0.881
Ti  0.000  0.000  0.500
Ge  0.000  0.000  0.324
Ge  0.000  0.000  0.676

Crystal system   tetragonal
Total moment   0.120 μB per atom
DFT formation energy   566 meV per atom

***

(8)
## PrTi2Ge2 (PBE)

Data for a relaxed structure of PrTi2Ge2.

Lattice parameters (Å, degrees): 6.635 6.635 6.635 143.68 143.68 52.31
Fractional positions:
Pr  0.000  0.000  0.000
Ti  0.250  0.750  0.500
Ti  0.750  0.250  0.500
Ge  0.389  0.389  0.000
Ge  0.611  0.611  0.000

Crystal system   tetragonal
Total moment   0.000 μB per atom
DFT formation energy   -668 meV per atom

***

(9)
## Pr7Tl2Ge2 (PBE)

Data for a relaxed structure of Pr7Tl2Ge2.

Lattice parameters (Å, degrees): 7.128 7.128 7.458 90.00 90.00 106.63
Fractional positions:
Pr  0.000  0.000  0.000
Pr  0.000  0.500  0.272
Pr  0.000  0.500  0.728
Pr  0.500  0.000  0.272
Pr  0.500  0.000  0.728
Pr  0.500  0.500  0.247
Pr  0.500  0.500  0.753
Tl  0.174  0.174  0.500
Tl  0.826  0.826  0.500
Ge  0.278  0.722  0.000
Ge  0.722  0.278  0.000

Crystal system   orthorhombic
Total moment   0.000 μB per atom
DFT formation energy   -307 meV per atom

***

(10)
## PrTlGe (PBE)

Data for a relaxed structure of PrTlGe.

Lattice parameters (Å, degrees): 9.659 9.659 4.028 90.00 90.00 154.07
Fractional positions:
Pr  0.091  0.909  0.750
Pr  0.909  0.091  0.250
Tl  0.286  0.714  0.750
Tl  0.714  0.286  0.250
Ge  0.456  0.544  0.750
Ge  0.544  0.456  0.250

Crystal system   orthorhombic
Total moment   0.000 μB per atom
DFT formation energy   -518 meV per atom

***

(11)
## PrTlGe (PBE)

Data for a relaxed structure of PrTlGe.

Lattice parameters (Å, degrees): 6.771 6.771 6.771 128.22 128.22 76.27
Fractional positions:
Pr  0.000  0.000  0.000
Pr  0.750  0.250  0.500
Tl  0.306  0.806  0.500
Tl  0.556  0.556  0.000
Ge  0.024  0.524  0.500
Ge  0.274  0.274  0.000

Crystal system   tetragonal
Total moment   0.000 μB per atom
DFT formation energy   -24 meV per atom

***

(12)
## PrTlGe4 (PBE)

Data for a relaxed structure of PrTlGe4.

Lattice parameters (Å, degrees): 5.746 5.746 5.746 60.00 60.00 60.00
Fractional positions:
Pr  0.000  0.000  0.000
Tl  0.750  0.750  0.750
Ge  0.374  0.374  0.374
Ge  0.374  0.374  0.877
Ge  0.374  0.877  0.374
Ge  0.877  0.374  0.374

Crystal system   cubic
Total moment   0.000 μB per atom
DFT formation energy   -182 meV per atom

***

(13)
## Pr5TlGe2 (PBE)

Data for a relaxed structure of Pr5TlGe2.

Lattice parameters (Å, degrees): 7.038 6.756 6.747 62.83 58.65 58.52
Fractional positions:
Pr  0.000  0.000  0.000
Pr  0.000  0.000  0.500
Pr  0.000  0.500  0.000
Pr  0.500  0.000  0.500
Pr  0.500  0.500  0.000
Tl  0.500  0.500  0.500
Ge  0.000  0.500  0.500
Ge  0.500  0.000  0.000

Crystal system   orthorhombic
Total moment   0.000 μB per atom
DFT formation energy   -371 meV per atom

***

(14)
## Pr5TlGe2 (PBE)

Data for a relaxed structure of Pr5TlGe2.

Lattice parameters (Å, degrees): 9.307 9.307 9.307 128.44 128.44 75.92
Fractional positions:
Pr  0.000  0.000  0.000
Pr  0.029  0.529  0.838
Pr  0.191  0.029  0.500
Pr  0.309  0.809  0.838
Pr  0.471  0.309  0.500
Pr  0.500  0.500  0.000
Pr  0.529  0.691  0.500
Pr  0.691  0.191  0.162
Pr  0.809  0.971  0.500
Pr  0.971  0.471  0.162
Tl  0.250  0.250  0.000
Tl  0.750  0.750  0.000
Ge  0.131  0.369  0.500
Ge  0.369  0.869  0.239
Ge  0.631  0.131  0.761
Ge  0.869  0.631  0.500

Crystal system   tetragonal
Total moment   0.000 μB per atom
DFT formation energy   -574 meV per atom

***

(15)
## Pr3TlGe4 (PBE)

Data for a relaxed structure of Pr3TlGe4.

Lattice parameters (Å, degrees): 8.743 8.743 8.743 150.97 137.30 52.47
Fractional positions:
Pr  0.000  0.000  0.000
Pr  0.314  0.814  0.500
Pr  0.686  0.186  0.500
Tl  0.500  0.500  0.000
Ge  0.060  0.368  0.692
Ge  0.324  0.632  0.692
Ge  0.676  0.368  0.308
Ge  0.940  0.632  0.308

Crystal system   orthorhombic
Total moment   0.000 μB per atom
DFT formation energy   -504 meV per atom

***

(16)
## Pr4TlGe2 (PBE)

Data for a relaxed structure of Pr4TlGe2.

Lattice parameters (Å, degrees): 8.133 8.133 8.133 109.53 109.53 109.35
Fractional positions:
Pr  0.109  0.504  0.744
Pr  0.114  0.009  0.756
Pr  0.254  0.359  0.244
Pr  0.496  0.241  0.605
Pr  0.636  0.891  0.395
Pr  0.641  0.886  0.895
Pr  0.759  0.364  0.256
Pr  0.991  0.746  0.105
Tl  0.250  0.750  0.500
Tl  0.500  0.500  0.000
Ge  0.005  0.125  0.380
Ge  0.375  0.995  0.120
Ge  0.745  0.625  0.620
Ge  0.875  0.255  0.880

Crystal system   tetragonal
Total moment   0.000 μB per atom
DFT formation energy   -603 meV per atom

***

(17)
## PrTlGe (PBE)

Data for a relaxed structure of PrTlGe.

Lattice parameters (Å, degrees): 4.500 4.500 4.739 90.00 90.00 120.00
Fractional positions:
Pr  0.000  0.000  0.000
Tl  0.667  0.333  0.425
Ge  0.333  0.667  0.675

Crystal system   trigonal
Total moment   0.000 μB per atom
DFT formation energy   -445 meV per atom

***

(18)
## Pr5Tl2Ge (PBE)

Data for a relaxed structure of Pr5Tl2Ge.

Lattice parameters (Å, degrees): 7.114 13.354 5.234 90.00 90.00 90.00
Fractional positions:
Pr  0.000  0.000  0.000
Pr  0.133  0.284  0.000
Pr  0.174  0.585  0.500
Pr  0.326  0.085  0.500
Pr  0.367  0.784  0.000
Pr  0.500  0.500  0.000
Pr  0.633  0.216  0.000
Pr  0.674  0.915  0.500
Pr  0.826  0.415  0.500
Pr  0.867  0.716  0.000
Tl  0.111  0.841  0.500
Tl  0.389  0.341  0.500
Tl  0.611  0.659  0.500
Tl  0.889  0.159  0.500
Ge  0.000  0.500  0.000
Ge  0.500  0.000  0.000

Crystal system   orthorhombic
Total moment   0.000 μB per atom
DFT formation energy   -422 meV per atom

***

(19)
## Pr5Tl2Ge2 (PBE)

Data for a relaxed structure of Pr5Tl2Ge2.

Lattice parameters (Å, degrees): 9.152 9.152 8.139 90.00 90.00 52.27
Fractional positions:
Pr  0.000  0.000  0.000
Pr  0.057  0.690  0.677
Pr  0.190  0.557  0.177
Pr  0.310  0.943  0.677
Pr  0.443  0.810  0.177
Pr  0.500  0.500  0.500
Pr  0.557  0.190  0.823
Pr  0.690  0.057  0.323
Pr  0.810  0.443  0.823
Pr  0.943  0.310  0.323
Tl  0.218  0.218  0.000
Tl  0.282  0.282  0.500
Tl  0.718  0.718  0.500
Tl  0.782  0.782  0.000
Ge  0.120  0.880  0.377
Ge  0.380  0.620  0.877
Ge  0.620  0.380  0.123
Ge  0.880  0.120  0.623

Crystal system   orthorhombic
Total moment   0.000 μB per atom
DFT formation energy   -566 meV per atom

***

(20)
## PrTmTlGe (PBE)

Data for a relaxed structure of PrTmTlGe.

Lattice parameters (Å, degrees): 5.295 5.295 5.295 60.00 60.00 60.00
Fractional positions:
Pr  0.000  0.000  0.000
Tm  0.500  0.500  0.500
Tl  0.250  0.250  0.250
Ge  0.750  0.750  0.750

Crystal system   cubic
Total moment   0.000 μB per atom
DFT formation energy   -408 meV per atom